[1]
First-principles (PBE-GGA) data for Zr3Cu4Si2 after structural relaxation, as listed in Alexandria.

a = 3.9955 Å, b = 6.3905 Å, c = 6.3905 Å
α = 120.00°, β = 90.00°, γ = 90.00°
Closest atoms and distances in Å follow each position.
Atoms (fractional coordinates):
Si (0.0000, 0.3333, 0.6667)  3 Cu 2.45
Cu (0.5000, 0.0000, 0.0000)  6 Cu 2.55, 3 Zr 2.63
Zr (0.5000, 0.4120, 0.4120)  1 Cu 2.63, 4 Si 2.78
Zr (0.5000, 0.0000, 0.5880)  1 Cu 2.63, 4 Si 2.78
Zr (0.5000, 0.5880, 0.0000)  1 Cu 2.63, 4 Si 2.78
Si (0.0000, 0.6667, 0.3333)  3 Cu 2.45
Cu (0.0000, 0.0000, 0.2470)  2 Si 2.45, 4 Cu 2.55-2.73
Cu (0.0000, 0.7530, 0.7530)  2 Si 2.45, 4 Cu 2.55-2.73
Cu (0.0000, 0.2470, 0.0000)  2 Si 2.45, 4 Cu 2.55-2.73

Summary:
D(E_F) = 3.1 states/eV/f.u.
Total moment = 0.00 Bohr magnetons per cell
E_form (uncorrected) = -0.531 eV per atom
Calculated total energy = -6.406 eV/atom

=====

[2]
First-principles (PBE-GGA) data for K3MnRh2S6 after structural relaxation, as listed in Alexandria.

a = 6.3882 Å, b = 6.3882 Å, c = 7.1649 Å
α = 98.55°, β = 98.55°, γ = 120.03°
Closest atoms and distances in Å follow each position.
Atoms (fractional coordinates):
S (0.0555, 0.3834, 0.1670)  1 Mn 2.39, 2 Rh 2.43
S (0.9445, 0.6166, 0.8330)  1 Mn 2.39, 2 Rh 2.43
K (0.8305, 0.1695, 0.5000)  6 S 3.11-3.12
S (0.7282, 0.7282, 0.1680)  1 Mn 2.39, 2 Rh 2.43
K (0.1695, 0.8305, 0.5000)  6 S 3.11-3.12
S (0.3834, 0.0555, 0.1670)  1 Mn 2.39, 2 Rh 2.43
S (0.6166, 0.9445, 0.8330)  1 Mn 2.39, 2 Rh 2.43
Rh (0.6666, 0.3334, 0.0000)  6 S 2.43
S (0.2718, 0.2718, 0.8320)  1 Mn 2.39, 2 Rh 2.43
K (0.5000, 0.5000, 0.5000)  6 S 3.11-3.14
Rh (0.3334, 0.6666, 0.0000)  6 S 2.43
Mn (0.0000, 0.0000, 0.0000)  6 S 2.39

Summary:
D(E_F) = 7.2 states/eV/f.u.
Total moment = 1.96 Bohr magnetons per cell
E_form (uncorrected) = -0.735 eV per atom
Calculated total energy = -5.062 eV/atom

=====

[3]
First-principles (PBE-GGA) data for Tl2RhBr after structural relaxation, as listed in Alexandria.

a = 3.4229 Å, b = 3.4229 Å, c = 8.0430 Å
α = 90.00°, β = 90.00°, γ = 90.00°
Closest atoms and distances in Å follow each position.
Atoms (fractional coordinates):
Tl (0.0000, 0.0000, 0.5378)  4 Rh 2.96
Br (0.5000, 0.5000, 0.2500)  8 Tl 3.35, 4 Br 3.42
Rh (0.5000, 0.5000, 0.7500)  8 Tl 2.96
Tl (0.0000, 0.0000, 0.9622)  4 Rh 2.96

Summary:
D(E_F) = 2.2 states/eV/f.u.
Total moment = 0.00 Bohr magnetons per cell
E_form (uncorrected) = -0.010 eV per atom
Energy relative to the lowest polymorph listed for this composition = 0.060 eV per atom
Calculated total energy = -3.449 eV/atom

=====

[4]
First-principles (PBE-GGA) data for RbTeClF2 after structural relaxation, as listed in Alexandria.

a = 5.3933 Å, b = 4.8315 Å, c = 5.3933 Å
α = 90.00°, β = 90.00°, γ = 90.00°
Closest atoms and distances in Å follow each position.
Atoms (fractional coordinates):
F (0.5000, 0.0000, 0.0000)  2 Cl 2.70
F (0.0000, 0.0000, 0.5000)  2 Cl 2.70
Rb (0.5000, 0.5000, 0.5000)  8 F 3.62, 4 Te 3.81
Te (0.0000, 0.5000, 0.0000)  2 Cl 2.42
Cl (0.0000, 0.0000, 0.0000)  2 Te 2.42, 4 F 2.70

Summary:
D(E_F) = 6.6 states/eV/f.u.
Total moment = 0.87 Bohr magnetons per cell
E_form (uncorrected) = -0.772 eV per atom
Calculated total energy = -2.712 eV/atom